Compound: Zr6OsRh
Source: the Alexandria database
Functional: PBE
Structure: relaxed

Structure (CIF):
```
data_Zr6OsRh
_chemical_formula_sum 'Zr12 Os2 Rh2'
_cell_length_a 6.101
_cell_length_b 10.748
_cell_length_c 6.150
_cell_angle_alpha 90.00
_cell_angle_beta 118.68
_cell_angle_gamma 90.00
_symmetry_space_group_name_H-M 'C 1 2/m 1'
_symmetry_Int_Tables_number 12
_symmetry_space_group_name_Hall '-C 2y'
loop_
_atom_site_label
_atom_site_type_symbol
_atom_site_fract_x
_atom_site_fract_y
_atom_site_fract_z
Zr1 Zr 0.246 0.204 0.253
Zr2 Zr 0.250 0.000 0.752
Os1 Os 0.000 0.500 0.500
Rh1 Rh 0.000 0.000 0.000
```

Values from the calculation:
Total DFT energy (no corrections), eV per atom: -8.713
DFT formation energy, eV/f.u.: 0.17
Calculated density, g cm⁻³: 7.9

Compound: AcNd4S7
Source: the Alexandria database
Functional: PBE
Structure: relaxed

Structure (CIF):
```
data_AcNd4S7
_chemical_formula_sum 'Ac2 Nd8 S14'
_cell_length_a 13.638
_cell_length_b 3.997
_cell_length_c 12.077
_cell_angle_alpha 90.00
_cell_angle_beta 104.84
_cell_angle_gamma 90.00
_symmetry_space_group_name_H-M 'C 1 m 1'
_symmetry_Int_Tables_number 8
_symmetry_space_group_name_Hall 'C -2y'
loop_
_atom_site_label
_atom_site_type_symbol
_atom_site_fract_x
_atom_site_fract_y
_atom_site_fract_z
Ac1 Ac 0.000 0.000 0.000
Nd1 Nd 0.112 0.000 0.422
Nd2 Nd 0.223 0.000 0.832
Nd3 Nd 0.312 0.500 0.237
Nd4 Nd 0.411 0.000 0.605
S1 S 0.065 0.000 0.633
S2 S 0.116 0.500 0.913
S3 S 0.160 0.000 0.211
S4 S 0.270 0.500 0.470
S5 S 0.349 0.500 0.764
S6 S 0.362 0.000 0.068
S7 S 0.454 0.000 0.369
```

Values from the calculation:
Total DFT energy (no corrections), eV per atom: -6.381
Raw formation energy, eV per atom: -2.042
Calculated density, g cm⁻³: 5.4

Compound: CrSb2W
Source: the Alexandria database
Functional: PBE
Structure: relaxed

Structure (CIF):
```
data_CrSb2W
_chemical_formula_sum 'Cr1 Sb2 W1'
_cell_length_a 3.335
_cell_length_b 3.330
_cell_length_c 6.669
_cell_angle_alpha 90.00
_cell_angle_beta 90.16
_cell_angle_gamma 90.00
_symmetry_space_group_name_H-M 'P 1 2/m 1'
_symmetry_Int_Tables_number 10
_symmetry_space_group_name_Hall '-P 2y'
loop_
_atom_site_label
_atom_site_type_symbol
_atom_site_fract_x
_atom_site_fract_y
_atom_site_fract_z
Cr1 Cr 0.000 0.000 0.000
Sb1 Sb 0.499 0.500 0.255
W1 W 0.000 0.000 0.500
```

Values from the calculation:
Total DFT energy (no corrections), eV per atom: -7.174
Raw formation energy, eV per atom: 0.531
Calculated density, g cm⁻³: 10.7

Compound: Ca2AgAuN
Source: the Alexandria database
Functional: PBE
Structure: relaxed

Structure (CIF):
```
data_Ca2AgAuN
_chemical_formula_sum 'Ca2 Ag1 Au1 N1'
_cell_length_a 4.873
_cell_length_b 4.873
_cell_length_c 4.307
_cell_angle_alpha 90.00
_cell_angle_beta 90.00
_cell_angle_gamma 90.00
_symmetry_space_group_name_H-M 'P 4/m m m'
_symmetry_Int_Tables_number 123
_symmetry_space_group_name_Hall '-P 4 2'
loop_
_atom_site_label
_atom_site_type_symbol
_atom_site_fract_x
_atom_site_fract_y
_atom_site_fract_z
Ca1 Ca 0.000 0.500 0.000
Ag1 Ag 0.000 0.000 0.500
Au1 Au 0.500 0.500 0.500
N1 N 0.000 0.000 0.000
```

Values from the calculation:
Total DFT energy (no corrections), eV per atom: -4.185
Raw formation energy, eV per atom: -0.493
Calculated density, g cm⁻³: 6.5

Q: Which value of calculated density does entry 2 give?
A: 5.4 g cm⁻³